CsBeAg2As: relaxed, GGA-PBEsol.

Cell lengths 5.627, 5.627, 5.761 Å; angles 90.00, 90.00, 90.00 degrees
Element x y z (fractional)
1 Cs 0.000 0.000 0.000
2 Ag 0.000 0.500 0.000
3 As 0.000 0.000 0.500
4 Be 0.500 0.500 0.500
5 Ag 0.500 0.000 0.000

For the volume, the calculation gives 36.48 Å³ per atom. Its final energy is -1.26 eV/atom. The value obtained for the density of states at the Fermi level is 5.824 states/eV/cell. The space group is P4/mmm (123).